## i
NaSb4Pd6 | Alexandria | GGA-PBE | relaxed; calculated volume = 19.9 A^3/atom
1.0
7.766 0.000 0.000
-3.883 6.726 0.000
0.000 0.000 4.183
Na Sb Pd
1 4 6
Direct
0.000 0.000 0.000
0.333 0.667 0.000
0.370 0.185 0.500
0.815 0.185 0.500
0.815 0.630 0.500
0.204 0.408 0.500
0.204 0.796 0.500
0.539 0.079 0.000
0.539 0.461 0.000
0.592 0.796 0.500
0.921 0.461 0.000

## ii
NaSb4Pd6 | Alexandria | GGA-PBE | relaxed; calculated volume = 21.3 A^3/atom
1.0
-3.458 3.458 4.902
3.458 -3.458 4.902
3.458 3.458 -4.902
Na Sb Pd
1 4 6
Direct
0.000 0.000 0.000
0.125 0.125 0.558
0.433 0.875 0.000
0.567 0.567 0.442
0.875 0.433 0.000
0.000 0.500 0.500
0.233 0.543 0.000
0.457 0.457 0.690
0.500 0.000 0.500
0.543 0.233 0.000
0.767 0.767 0.310

The structure with the greatest stability is i.

## i
Na2ScPd2 | Alexandria | GGA-PBE | relaxed; calculated volume = 19.7 A^3/atom
1.0
7.966 0.000 0.000
0.000 7.966 0.000
0.000 0.000 3.109
Na Sc Pd
4 2 4
Direct
0.120 0.380 0.000
0.380 0.880 0.000
0.620 0.120 0.000
0.880 0.620 0.000
0.000 0.000 0.500
0.500 0.500 0.500
0.182 0.682 0.500
0.318 0.182 0.500
0.682 0.818 0.500
0.818 0.318 0.500

## ii
Na2ScPd2 | Alexandria | GGA-PBE | relaxed; calculated volume = 20.0 A^3/atom
1.0
-1.851 1.851 7.285
1.851 -1.851 7.285
1.851 1.851 -7.285
Na Sc Pd
2 1 2
Direct
0.250 0.750 0.500
0.750 0.250 0.500
0.000 0.000 0.000
0.409 0.409 0.000
0.591 0.591 0.000

The structure with the greatest stability is ii.

## i
Na2ScPd | Alexandria | GGA-PBE | relaxed; calculated volume = 22.7 A^3/atom
1.0
-1.974 1.974 11.645
1.974 -1.974 11.645
1.974 1.974 -11.645
Na Sc Pd
4 2 2
Direct
0.104 0.625 0.979
0.375 0.354 0.479
0.646 0.125 0.021
0.875 0.896 0.521
0.250 0.750 0.500
0.500 0.500 0.000
0.000 0.000 0.000
0.750 0.250 0.500

## ii
Na2ScPd | Alexandria | GGA-PBE | relaxed; calculated volume = 21.5 A^3/atom
1.0
0.000 3.505 3.505
3.505 0.000 3.505
3.505 3.505 0.000
Na Sc Pd
2 1 1
Direct
0.250 0.250 0.250
0.750 0.750 0.750
0.000 0.000 0.000
0.500 0.500 0.500

The structure with the greatest stability is i.

## i
NaSc3Pd | Alexandria | GGA-PBE | relaxed; calculated volume = 25.5 A^3/atom
1.0
5.036 0.000 0.000
0.000 5.036 0.000
0.000 0.000 5.036
Na Sc Pd
1 3 1
Direct
0.000 0.000 0.000
0.000 0.000 0.500
0.000 0.500 0.000
0.500 0.000 0.000
0.500 0.500 0.500

## ii
NaSc3Pd | Alexandria | GGA-PBE | relaxed; calculated volume = 27.8 A^3/atom
1.0
5.182 0.000 0.000
0.000 5.182 0.000
0.000 0.000 5.182
Na Sc Pd
1 3 1
Direct
0.000 0.000 0.000
0.000 0.500 0.500
0.500 0.000 0.500
0.500 0.500 0.000
0.500 0.500 0.500

The structure with the greatest stability is ii.

## i
NaPd4Se2 | Alexandria | GGA-PBE | relaxed; calculated volume = 19.5 A^3/atom
1.0
2.078 -7.910 0.000
2.078 7.910 0.000
0.000 0.000 4.145
Na Pd Se
1 4 2
Direct
0.000 0.000 0.000
0.190 0.810 0.500
0.314 0.686 0.000
0.686 0.314 0.000
0.810 0.190 0.500
0.399 0.601 0.500
0.601 0.399 0.500

## ii
NaPd4Se2 | Alexandria | GGA-PBE | relaxed; calculated volume = 18.3 A^3/atom
1.0
7.950 0.000 0.000
0.000 7.950 0.000
0.000 0.000 4.058
Na Pd Se
2 8 4
Direct
0.000 0.000 0.000
0.500 0.500 0.500
0.097 0.350 0.500
0.150 0.597 0.000
0.350 0.097 0.500
0.403 0.850 0.000
0.597 0.150 0.000
0.650 0.903 0.500
0.850 0.403 0.000
0.903 0.650 0.500
0.223 0.777 0.500
0.277 0.277 0.000
0.723 0.723 0.000
0.777 0.223 0.500

The structure with the greatest stability is ii.

## i
NaPd3Se | Alexandria | GGA-PBE | relaxed; calculated volume = 21.5 A^3/atom
1.0
4.758 0.000 0.000
0.000 4.758 0.000
0.000 0.000 4.758
Na Pd Se
1 3 1
Direct
0.000 0.000 0.000
0.000 0.500 0.500
0.500 0.000 0.500
0.500 0.500 0.000
0.500 0.500 0.500

## ii
NaPd3Se | Alexandria | GGA-PBE | relaxed; calculated volume = 20.3 A^3/atom
1.0
4.668 0.000 0.000
0.000 4.668 0.000
0.000 0.000 4.668
Na Pd Se
1 3 1
Direct
0.000 0.000 0.000
0.000 0.000 0.500
0.000 0.500 0.000
0.500 0.000 0.000
0.500 0.500 0.500

The structure with the greatest stability is i.